1.
A relaxed structure of NdZnS2. Source: the Alexandria database, functional PBE.

Cell lengths 8.316, 8.316, 8.316 Å; angles 26.21, 26.21, 26.21 degrees
Fractional positions:
Nd (0.000, 0.000, 0.000)
Zn (0.500, 0.500, 0.500)
S (0.112, 0.112, 0.112)
S (0.888, 0.888, 0.888)

Calculated values
Energy relative to the elements, uncorrected   -0.4743 eV per atom
Magnetization   0.000 μB/cell


2.
A relaxed structure of Nd2ZnS. Source: the Alexandria database, functional PBE.

Cell lengths 12.021, 12.021, 4.241 Å; angles 90.00, 90.00, 160.82 degrees
Fractional positions:
Nd (0.073, 0.927, 0.750)
Nd (0.312, 0.688, 0.750)
Nd (0.688, 0.312, 0.250)
Nd (0.927, 0.073, 0.250)
Zn (0.464, 0.536, 0.750)
Zn (0.536, 0.464, 0.250)
S (0.193, 0.807, 0.750)
S (0.807, 0.193, 0.250)

Calculated values
Energy relative to the elements, uncorrected   -1.1479 eV per atom
Magnetization   0.000 μB/cell


3.
A relaxed structure of Nd5ZnS4. Source: the Alexandria database, functional PBE.

Cell lengths 7.122, 7.122, 7.122 Å; angles 99.57, 99.57, 131.87 degrees
Fractional positions:
Nd (0.000, 0.000, 0.000)
Nd (0.194, 0.603, 0.796)
Nd (0.397, 0.194, 0.591)
Nd (0.603, 0.806, 0.409)
Nd (0.806, 0.397, 0.204)
Zn (0.500, 0.500, 0.000)
S (0.101, 0.301, 0.403)
S (0.301, 0.899, 0.200)
S (0.699, 0.101, 0.800)
S (0.899, 0.699, 0.597)

Calculated values
Energy relative to the elements, uncorrected   -1.6801 eV per atom
Magnetization   0.000 μB/cell


4.
A relaxed structure of Nd2ZnS. Source: the Alexandria database, functional PBE.

Cell lengths 7.990, 7.990, 7.990 Å; angles 28.87, 28.87, 28.87 degrees
Fractional positions:
Nd (0.000, 0.000, 0.000)
Nd (0.187, 0.187, 0.187)
Zn (0.760, 0.760, 0.760)
S (0.592, 0.592, 0.592)

Calculated values
Energy relative to the elements, uncorrected   -1.0190 eV per atom
Magnetization   0.000 μB/cell


5.
A relaxed structure of Nd2ZnS4. Source: the Alexandria database, functional PBE.

Cell lengths 6.547, 6.668, 7.807 Å; angles 90.00, 107.56, 90.00 degrees
Fractional positions:
Nd (0.220, 0.250, 0.056)
Nd (0.239, 0.250, 0.560)
Nd (0.761, 0.750, 0.440)
Nd (0.780, 0.750, 0.944)
Zn (0.249, 0.750, 0.810)
Zn (0.751, 0.250, 0.190)
S (0.005, 0.507, 0.255)
S (0.005, 0.993, 0.255)
S (0.449, 0.750, 0.614)
S (0.450, 0.750, 0.108)
S (0.550, 0.250, 0.892)
S (0.551, 0.250, 0.386)
S (0.995, 0.007, 0.745)
S (0.995, 0.493, 0.745)

Calculated values
Energy relative to the elements, uncorrected   -1.5893 eV per atom
Magnetization   0.000 μB/cell


6.
A relaxed structure of Nd2ZnS. Source: the Alexandria database, functional PBE.

Cell lengths 9.776, 9.776, 9.776 Å; angles 22.88, 22.88, 22.88 degrees
Fractional positions:
Nd (0.109, 0.109, 0.109)
Nd (0.891, 0.891, 0.891)
Zn (0.000, 0.000, 0.000)
S (0.500, 0.500, 0.500)

Calculated values
Energy relative to the elements, uncorrected   -0.6517 eV per atom
Magnetization   0.000 μB/cell


7.
A relaxed structure of NdZr2S4. Source: the Alexandria database, functional PBE.

Cell lengths 6.307, 6.307, 13.197 Å; angles 90.00, 90.00, 145.75 degrees
Fractional positions:
Nd (0.111, 0.889, 0.750)
Nd (0.889, 0.111, 0.250)
Zr (0.357, 0.643, 0.559)
Zr (0.357, 0.643, 0.941)
Zr (0.643, 0.357, 0.059)
Zr (0.643, 0.357, 0.441)
S (0.000, 0.000, 0.000)
S (0.000, 0.000, 0.500)
S (0.279, 0.721, 0.123)
S (0.279, 0.721, 0.377)
S (0.438, 0.562, 0.750)
S (0.562, 0.438, 0.250)
S (0.721, 0.279, 0.623)
S (0.721, 0.279, 0.877)

Calculated values
Energy relative to the elements, uncorrected   -1.6560 eV per atom
Magnetization   0.000 μB/cell


8.
A relaxed structure of Nd3ZrS6. Source: the Alexandria database, functional PBE.

Cell lengths 8.035, 8.035, 8.035 Å; angles 98.20, 98.20, 98.20 degrees
Fractional positions:
Nd (0.126, 0.616, 0.794)
Nd (0.206, 0.874, 0.384)
Nd (0.384, 0.206, 0.874)
Nd (0.616, 0.794, 0.126)
Nd (0.794, 0.126, 0.616)
Nd (0.874, 0.384, 0.206)
Zr (0.000, 0.000, 0.000)
Zr (0.500, 0.500, 0.500)
S (0.068, 0.928, 0.692)
S (0.072, 0.308, 0.932)
S (0.185, 0.533, 0.434)
S (0.308, 0.932, 0.072)
S (0.434, 0.185, 0.533)
S (0.467, 0.566, 0.815)
S (0.533, 0.434, 0.185)
S (0.566, 0.815, 0.467)
S (0.692, 0.068, 0.928)
S (0.815, 0.467, 0.566)
S (0.928, 0.692, 0.068)
S (0.932, 0.072, 0.308)

Calculated values
Energy relative to the elements, uncorrected   -1.8936 eV per atom
Magnetization   0.000 μB/cell


9.
A relaxed structure of Nd2ZrS5. Source: the Alexandria database, functional PBE.

Cell lengths 11.700, 8.011, 7.407 Å; angles 90.00, 90.00, 90.00 degrees
Fractional positions:
Nd (0.177, 0.001, 0.033)
Nd (0.177, 0.499, 0.033)
Nd (0.323, 0.501, 0.533)
Nd (0.323, 0.999, 0.533)
Nd (0.677, 0.001, 0.467)
Nd (0.677, 0.499, 0.467)
Nd (0.823, 0.501, 0.967)
Nd (0.823, 0.999, 0.967)
Zr (0.008, 0.750, 0.576)
Zr (0.492, 0.250, 0.076)
Zr (0.508, 0.750, 0.924)
Zr (0.992, 0.250, 0.424)
S (0.004, 0.750, 0.944)
S (0.087, 0.036, 0.664)
S (0.087, 0.464, 0.664)
S (0.184, 0.750, 0.341)
S (0.207, 0.250, 0.319)
S (0.293, 0.750, 0.819)
S (0.316, 0.250, 0.841)
S (0.413, 0.536, 0.164)
S (0.413, 0.964, 0.164)
S (0.496, 0.250, 0.444)
S (0.504, 0.750, 0.556)
S (0.587, 0.036, 0.836)
S (0.587, 0.464, 0.836)
S (0.684, 0.750, 0.159)
S (0.707, 0.250, 0.181)
S (0.793, 0.750, 0.681)
S (0.816, 0.250, 0.659)
S (0.913, 0.536, 0.336)
S (0.913, 0.964, 0.336)
S (0.996, 0.250, 0.056)

Calculated values
Energy relative to the elements, uncorrected   -1.8938 eV per atom
Magnetization   0.000 μB/cell


10.
A relaxed structure of NdZr4S8. Source: the Alexandria database, functional PBE.

Cell lengths 7.912, 7.912, 7.912 Å; angles 55.04, 55.04, 55.04 degrees
Fractional positions:
Nd (0.000, 0.000, 0.000)
Zr (0.000, 0.000, 0.500)
Zr (0.000, 0.500, 0.000)
Zr (0.500, 0.000, 0.000)
Zr (0.500, 0.500, 0.500)
S (0.240, 0.240, 0.240)
S (0.249, 0.741, 0.741)
S (0.259, 0.259, 0.751)
S (0.259, 0.751, 0.259)
S (0.741, 0.249, 0.741)
S (0.741, 0.741, 0.249)
S (0.751, 0.259, 0.259)
S (0.760, 0.760, 0.760)

Calculated values
Energy relative to the elements, uncorrected   -1.6779 eV per atom
Magnetization   0.000 μB/cell


11.
A relaxed structure of NdZr2S6. Source: the Alexandria database, functional PBE.

Cell lengths 6.806, 6.806, 8.922 Å; angles 125.24, 125.24, 44.49 degrees
Fractional positions:
Nd (0.000, 0.000, 0.000)
Zr (0.172, 0.172, 0.582)
Zr (0.828, 0.828, 0.418)
S (0.060, 0.060, 0.736)
S (0.275, 0.275, 0.397)
S (0.379, 0.379, 0.937)
S (0.621, 0.621, 0.063)
S (0.725, 0.725, 0.603)
S (0.940, 0.940, 0.264)

Calculated values
Energy relative to the elements, uncorrected   -1.4279 eV per atom
Magnetization   0.000 μB/cell


12.
A relaxed structure of Nd2ZrS5. Source: the Alexandria database, functional PBE.

Cell lengths 7.355, 7.355, 13.058 Å; angles 90.00, 90.00, 137.94 degrees
Fractional positions:
Nd (0.144, 0.856, 0.564)
Nd (0.144, 0.856, 0.936)
Nd (0.856, 0.144, 0.064)
Nd (0.856, 0.144, 0.436)
Zr (0.186, 0.814, 0.250)
Zr (0.814, 0.186, 0.750)
S (0.049, 0.951, 0.124)
S (0.049, 0.951, 0.376)
S (0.270, 0.730, 0.750)
S (0.300, 0.700, 0.088)
S (0.300, 0.700, 0.412)
S (0.700, 0.300, 0.588)
S (0.700, 0.300, 0.912)
S (0.730, 0.270, 0.250)
S (0.951, 0.049, 0.624)
S (0.951, 0.049, 0.876)

Calculated values
Energy relative to the elements, uncorrected   -1.7755 eV per atom
Magnetization   0.000 μB/cell


Here are the calculated raw total energy numbers, same order: -4.048 -4.882 -5.842 -4.753 -5.492 -4.386 -7.138 -6.655 -6.734 -7.215 -6.609 -6.616 (eV/atom).